The following is a DFT calculation (PBE) of a relaxed YMnS3 crystal.

Computed properties:
- E_form (uncorrected): -191 meV per atom

Cell lengths 5.166, 5.166, 5.166 Å; angles 90.00, 90.00, 90.00 degrees
Space group Pm-3m (No. 221)
Symmetry-distinct sites (fractional):
Y 0.000 0.000 0.000 [1 per cell]
Mn 0.500 0.500 0.500 [1 per cell]
S 0.000 0.000 0.500 [3 per cell]